# LuInCoPd, optimized geometry, DFT PBE-GGA
data_LuInCoPd
_chemical_formula_sum 'Lu4 In4 Co4 Pd4'
_symmetry_space_group_name_H-M 'F -4 3 m'
_symmetry_Int_Tables_number 216
_symmetry_space_group_name_Hall 'F -4 2 3'
_cell_length_a 6.6318
_cell_length_b 6.6318
_cell_length_c 6.6318
_cell_angle_alpha 90.00
_cell_angle_beta 90.00
_cell_angle_gamma 90.00
loop_
_atom_site_label
_atom_site_type_symbol
_atom_site_fract_x
_atom_site_fract_y
_atom_site_fract_z
_atom_site_occupancy
Lu1 Lu 0.0000 0.0000 0.0000 1
In1 In 0.2500 0.2500 0.2500 1
Co1 Co 0.0000 0.0000 0.5000 1
Pd1 Pd 0.2500 0.2500 0.7500 1
# Distance to the lowest polymorph of the same formula   32.9 kJ per mole of atoms